Density functional theory data (PBE) for a relaxed YHf2Se crystal.

Output
- total moment (μB per atom) = 0.000
- E_tot (eV per formula unit) = -30.81
- crystal system = tetragonal
- raw formation energy (eV/atom) = -0.239
- volume (Å³ per cell) = 197

a b c (Å): 8.314 8.314 6.535
angles (deg): 50.50 50.50 90.00
Atoms (fractional coordinates):
Hf (0.198, 0.625, 0.250)
Se (0.500, 0.500, 0.000)
Y (0.000, 0.000, 0.000)
Hf (0.552, 0.125, 0.250)
Y (0.750, 0.250, 0.500)
Hf (0.875, 0.802, 0.750)
Hf (0.375, 0.448, 0.750)
Se (0.250, 0.750, 0.500)



Density functional theory data (PBE) for a relaxed YHfSe crystal.

Output
- total moment (μB per atom) = 0.000
- energy relative to the lowest polymorph listed for this composition (eV per atom) = 0.204
- E_tot (eV per formula unit) = -22.47
- crystal system = orthorhombic
- raw formation energy (eV/atom) = -0.857
- volume (Å³ per cell) = 287

a b c (Å): 5.530 3.622 14.337
angles (deg): 90.00 90.00 90.00
Atoms (fractional coordinates):
Hf (0.500, 0.000, 0.500)
Hf (0.000, 0.000, 0.095)
Se (0.500, 0.000, 0.138)
Y (0.000, 0.000, 0.404)
Se (0.500, 0.500, 0.638)
Hf (0.500, 0.500, 0.000)
Se (0.000, 0.000, 0.742)
Y (0.000, 0.500, 0.904)
Se (0.000, 0.500, 0.242)
Hf (0.000, 0.500, 0.595)
Y (0.500, 0.000, 0.797)
Y (0.500, 0.500, 0.297)



Density functional theory data (PBE) for a relaxed YHf3Se crystal.

Output
- total moment (μB per atom) = 0.000
- energy relative to the lowest polymorph listed for this composition (eV per atom) = 1.676
- E_tot (eV per formula unit) = -31.89
- crystal system = cubic
- raw formation energy (eV/atom) = 1.584
- volume (Å³ per cell) = 140

a b c (Å): 5.197 5.197 5.197
angles (deg): 90.00 90.00 90.00
Atoms (fractional coordinates):
Y (0.000, 0.000, 0.000)
Se (0.500, 0.500, 0.500)
Hf (0.500, 0.000, 0.000)
Hf (0.000, 0.000, 0.500)
Hf (0.000, 0.500, 0.000)



Density functional theory data (PBE) for a relaxed YHfSe crystal.

Output
- total moment (μB per atom) = 0.000
- energy relative to the lowest polymorph listed for this composition (eV per atom) = 0.000
- E_tot (eV per formula unit) = -23.08
- crystal system = orthorhombic
- raw formation energy (eV/atom) = -1.061
- volume (Å³ per cell) = 145

a b c (Å): 4.039 9.192 3.910
angles (deg): 90.00 90.00 90.00
Atoms (fractional coordinates):
Se (0.500, 0.866, 0.500)
Y (0.500, 0.200, 0.500)
Hf (0.000, 0.439, 0.000)
Hf (0.500, 0.561, 0.500)
Y (0.000, 0.800, 0.000)
Se (0.000, 0.134, 0.000)



Density functional theory data (PBE) for a relaxed YHfSe3 crystal.

Output
- total moment (μB per atom) = 0.000
- energy relative to the lowest polymorph listed for this composition (eV per atom) = 0.520
- E_tot (eV per formula unit) = -31.59
- crystal system = cubic
- raw formation energy (eV/atom) = -0.945
- volume (Å³ per cell) = 134

a b c (Å): 5.113 5.113 5.113
angles (deg): 90.00 90.00 90.00
Atoms (fractional coordinates):
Hf (0.000, 0.000, 0.000)
Se (0.000, 0.000, 0.500)
Y (0.500, 0.500, 0.500)
Se (0.000, 0.500, 0.000)
Se (0.500, 0.000, 0.000)



Density functional theory data (PBE) for a relaxed YHf2Se crystal.

Output
- total moment (μB per atom) = 0.000
- E_tot (eV per formula unit) = -30.03
- crystal system = trigonal
- raw formation energy (eV/atom) = -0.045
- volume (Å³ per cell) = 97

a b c (Å): 3.310 3.310 10.396
angles (deg): 80.84 80.84 60.00
Atoms (fractional coordinates):
Hf (0.897, 0.897, 0.309)
Y (0.000, 0.000, 0.000)
Hf (0.103, 0.103, 0.691)
Se (0.500, 0.500, 0.500)



Density functional theory data (PBE) for a relaxed YHfSe2 crystal.

Output
- total moment (μB per atom) = 0.000
- energy relative to the lowest polymorph listed for this composition (eV per atom) = 0.000
- E_tot (eV per formula unit) = -28.70
- crystal system = trigonal
- raw formation energy (eV/atom) = -1.329
- volume (Å³ per cell) = 87

a b c (Å): 3.675 3.675 7.741
angles (deg): 76.27 76.27 60.00
Atoms (fractional coordinates):
Se (0.244, 0.244, 0.267)
Se (0.090, 0.090, 0.731)
Y (0.666, 0.666, 0.002)
Hf (0.500, 0.500, 0.500)



Density functional theory data (PBE) for a relaxed YHfSe crystal.

Output
- total moment (μB per atom) = 0.072
- energy relative to the lowest polymorph listed for this composition (eV per atom) = 0.176
- E_tot (eV per formula unit) = -22.56
- crystal system = orthorhombic
- raw formation energy (eV/atom) = -0.885
- volume (Å³ per cell) = 144

a b c (Å): 3.599 4.141 9.688
angles (deg): 90.00 90.00 90.00
Site moments in Bohr magnetons follow the coordinates.
Atoms (fractional coordinates):
Y (0.000, 0.500, 0.120)  0.10
Se (0.500, 0.500, 0.879)  0.00
Se (0.500, 0.000, 0.207)  0.00
Hf (0.000, 0.000, 0.433)  0.02
Hf (0.500, 0.500, 0.573)  0.01
Y (0.000, 0.000, 0.777)  0.08



Density functional theory data (PBE) for a relaxed YHfSe3 crystal.

Output
- total moment (μB per atom) = 0.000
- energy relative to the lowest polymorph listed for this composition (eV per atom) = 0.000
- E_tot (eV per formula unit) = -34.19
- crystal system = orthorhombic
- raw formation energy (eV/atom) = -1.464
- volume (Å³ per cell) = 483

a b c (Å): 3.902 9.099 13.616
angles (deg): 90.00 90.00 90.00
Atoms (fractional coordinates):
Se (0.750, 0.499, 0.621)
Hf (0.750, 0.335, 0.461)
Se (0.750, 0.700, 0.213)
Se (0.750, 0.200, 0.287)
Y (0.750, 0.014, 0.658)
Y (0.750, 0.514, 0.842)
Hf (0.250, 0.665, 0.539)
Se (0.250, 0.158, 0.531)
Se (0.750, 0.342, 0.031)
Se (0.250, 0.001, 0.121)
Hf (0.250, 0.165, 0.961)
Se (0.250, 0.300, 0.787)
Se (0.250, 0.658, 0.969)
Hf (0.750, 0.835, 0.039)
Se (0.250, 0.800, 0.713)
Se (0.750, 0.999, 0.879)
Se (0.750, 0.842, 0.469)
Y (0.250, 0.486, 0.158)
Se (0.250, 0.501, 0.379)
Y (0.250, 0.986, 0.342)



Density functional theory data (PBE) for a relaxed YHfSe crystal.

Output
- total moment (μB per atom) = 0.000
- energy relative to the lowest polymorph listed for this composition (eV per atom) = 0.102
- E_tot (eV per formula unit) = -22.78
- crystal system = monoclinic
- raw formation energy (eV/atom) = -0.959
- volume (Å³ per cell) = 273

a b c (Å): 8.037 3.629 10.764
angles (deg): 90.00 119.57 90.00
Atoms (fractional coordinates):
Se (0.815, 0.500, 0.329)
Y (0.837, 0.000, 0.564)
Y (0.837, 0.500, 0.064)
Se (0.815, 0.000, 0.829)
Hf (0.541, 0.500, 0.649)
Se (0.185, 0.500, 0.671)
Y (0.163, 0.500, 0.936)
Hf (0.459, 0.000, 0.851)
Hf (0.541, 0.000, 0.149)
Hf (0.459, 0.500, 0.351)
Se (0.185, 0.000, 0.171)
Y (0.163, 0.000, 0.436)



Density functional theory data (PBE) for a relaxed YHfSe crystal.

Output
- total moment (μB per atom) = 0.000
- energy relative to the lowest polymorph listed for this composition (eV per atom) = 0.186
- E_tot (eV per formula unit) = -22.53
- crystal system = orthorhombic
- raw formation energy (eV/atom) = -0.875
- volume (Å³ per cell) = 133

a b c (Å): 4.312 8.058 3.826
angles (deg): 90.00 90.00 90.00
Atoms (fractional coordinates):
Se (0.500, 0.756, 0.500)
Y (0.500, 0.140, 0.500)
Hf (0.500, 0.494, 0.000)
Se (0.000, 0.244, 0.000)
Y (0.000, 0.860, 0.000)
Hf (0.000, 0.506, 0.500)



Density functional theory data (PBE) for a relaxed YHfSe2 crystal.

Output
- total moment (μB per atom) = 0.000
- energy relative to the lowest polymorph listed for this composition (eV per atom) = 0.473
- E_tot (eV per formula unit) = -26.81
- crystal system = tetragonal
- raw formation energy (eV/atom) = -0.856
- volume (Å³ per cell) = 236

a b c (Å): 6.133 6.133 7.625
angles (deg): 66.29 66.29 90.00
Atoms (fractional coordinates):
Hf (0.000, 0.000, 0.000)
Se (0.651, 0.125, 0.250)
Hf (0.750, 0.250, 0.500)
Se (0.375, 0.349, 0.750)
Se (0.875, 0.901, 0.750)
Se (0.099, 0.625, 0.250)
Y (0.500, 0.500, 0.000)
Y (0.250, 0.750, 0.500)



Density functional theory data (PBE) for a relaxed YHfSe2 crystal.

Output
- total moment (μB per atom) = 0.000
- energy relative to the lowest polymorph listed for this composition (eV per atom) = 0.185
- E_tot (eV per formula unit) = -27.96
- crystal system = cubic
- raw formation energy (eV/atom) = -1.144
- volume (Å³ per cell) = 81

a b c (Å): 4.859 4.859 4.859
angles (deg): 60.00 60.00 60.00
Atoms (fractional coordinates):
Se (0.750, 0.750, 0.750)
Se (0.250, 0.250, 0.250)
Hf (0.500, 0.500, 0.500)
Y (0.000, 0.000, 0.000)



Density functional theory data (PBE) for a relaxed YHfSe crystal.

Output
- total moment (μB per atom) = 0.000
- energy relative to the lowest polymorph listed for this composition (eV per atom) = 0.456
- E_tot (eV per formula unit) = -21.72
- crystal system = orthorhombic
- raw formation energy (eV/atom) = -0.605
- volume (Å³ per cell) = 147

a b c (Å): 5.249 3.501 8.592
angles (deg): 101.76 107.78 90.00
Atoms (fractional coordinates):
Y (0.335, 0.835, 0.669)
Hf (0.252, 0.500, 0.000)
Se (0.842, 0.342, 0.685)
Se (0.158, 0.658, 0.315)
Y (0.665, 0.165, 0.331)
Hf (0.748, 0.500, 0.000)



Density functional theory data (PBE) for a relaxed YHf3Se crystal.

Output
- total moment (μB per atom) = 0.000
- energy relative to the lowest polymorph listed for this composition (eV per atom) = 0.000
- E_tot (eV per formula unit) = -40.27
- crystal system = cubic
- raw formation energy (eV/atom) = -0.092
- volume (Å³ per cell) = 127

a b c (Å): 5.026 5.026 5.026
angles (deg): 90.00 90.00 90.00
Atoms (fractional coordinates):
Y (0.500, 0.500, 0.500)
Hf (0.500, 0.000, 0.000)
Se (0.000, 0.000, 0.000)
Hf (0.000, 0.500, 0.000)
Hf (0.000, 0.000, 0.500)



Density functional theory data (PBE) for a relaxed YHfSe crystal.

Output
- total moment (μB per atom) = 0.000
- energy relative to the lowest polymorph listed for this composition (eV per atom) = 0.218
- E_tot (eV per formula unit) = -22.43
- crystal system = orthorhombic
- raw formation energy (eV/atom) = -0.843
- volume (Å³ per cell) = 283

a b c (Å): 3.916 4.041 17.910
angles (deg): 90.00 90.00 90.00
Atoms (fractional coordinates):
Se (0.000, 0.500, 0.566)
Y (0.000, 0.000, 0.200)
Y (0.500, 0.000, 0.519)
Hf (0.500, 0.000, 0.348)
Hf (0.500, 0.000, 0.900)
Se (0.000, 0.000, 0.738)
Se (0.500, 0.000, 0.066)
Se (0.500, 0.500, 0.238)
Hf (0.000, 0.500, 0.400)
Hf (0.000, 0.500, 0.848)
Y (0.500, 0.500, 0.700)
Y (0.000, 0.500, 0.019)



Density functional theory data (PBE) for a relaxed YHfSe3 crystal.

Output
- total moment (μB per atom) = 0.180
- energy relative to the lowest polymorph listed for this composition (eV per atom) = 1.328
- E_tot (eV per formula unit) = -27.55
- crystal system = cubic
- raw formation energy (eV/atom) = -0.136
- volume (Å³ per cell) = 150

a b c (Å): 5.310 5.310 5.310
angles (deg): 90.00 90.00 90.00
Site moments in Bohr magnetons follow the coordinates.
Atoms (fractional coordinates):
Y (0.000, 0.000, 0.000)  0.01
Se (0.000, 0.000, 0.500)  -0.07
Hf (0.500, 0.500, 0.500)  0.78
Se (0.000, 0.500, 0.000)  -0.09
Se (0.500, 0.000, 0.000)  -0.07



Density functional theory data (PBE) for a relaxed Y3HfSe crystal.

Output
- total moment (μB per atom) = 0.196
- energy relative to the lowest polymorph listed for this composition (eV per atom) = 0.000
- E_tot (eV per formula unit) = -33.82
- crystal system = cubic
- raw formation energy (eV/atom) = -0.199
- volume (Å³ per cell) = 153

a b c (Å): 5.346 5.346 5.346
angles (deg): 90.00 90.00 90.00
Site moments in Bohr magnetons follow the coordinates.
Atoms (fractional coordinates):
Hf (0.500, 0.500, 0.500)  0.29
Se (0.000, 0.000, 0.000)  0.01
Y (0.500, 0.000, 0.000)  0.04
Y (0.000, 0.000, 0.500)  0.08
Y (0.000, 0.500, 0.000)  0.04



Density functional theory data (PBE) for a relaxed Y3HfSe crystal.

Output
- total moment (μB per atom) = 0.000
- energy relative to the lowest polymorph listed for this composition (eV per atom) = 0.762
- E_tot (eV per formula unit) = -30.01
- crystal system = cubic
- raw formation energy (eV/atom) = 0.563
- volume (Å³ per cell) = 170

a b c (Å): 5.535 5.535 5.535
angles (deg): 90.00 90.00 90.00
Atoms (fractional coordinates):
Y (0.000, 0.500, 0.000)
Y (0.000, 0.000, 0.500)
Se (0.500, 0.500, 0.500)
Hf (0.000, 0.000, 0.000)
Y (0.500, 0.000, 0.000)



Density functional theory data (PBE) for a relaxed YHfSe crystal.

Output
- total moment (μB per atom) = 0.000
- energy relative to the lowest polymorph listed for this composition (eV per atom) = 0.205
- E_tot (eV per formula unit) = -22.47
- crystal system = trigonal
- raw formation energy (eV/atom) = -0.855
- volume (Å³ per cell) = 216

a b c (Å): 3.576 3.576 19.536
angles (deg): 90.00 90.00 120.00
Atoms (fractional coordinates):
Se (0.667, 0.333, 0.235)
Hf (0.667, 0.333, 0.477)
Se (0.333, 0.667, 0.568)
Y (0.667, 0.333, 0.677)
Hf (0.000, 0.000, 0.143)
Y (0.000, 0.000, 0.343)
Y (0.333, 0.667, 0.010)
Se (0.000, 0.000, 0.901)
Hf (0.333, 0.667, 0.810)